Entry 1:
Below is a relaxed DyPt3 crystal, with properties calculated at the PBE level.

abc: 5.123 5.123 5.123
angles: 132.70 132.70 69.12
Element x y z (fractional)
Dy 0.000 0.000 0.000
Pt 0.250 0.750 0.500
Pt 0.500 0.500 0.000
Pt 0.750 0.250 0.500

Values from the calculation:
ΔE_f: -0.879 eV/atom
crystal system: tetragonal
total energy: -26.24 eV per formula unit
N(E_F): 5.757 states/eV/f.u.

Entry 2:
Below is a relaxed Dy7Pt3 crystal, with properties calculated at the PBE level.

abc: 9.880 9.880 6.280
angles: 90.00 90.00 120.00
Element x y z (fractional)
Dy 0.079 0.539 0.000
Dy 0.127 0.253 0.691
Dy 0.127 0.873 0.691
Dy 0.253 0.127 0.191
Dy 0.333 0.667 0.497
Dy 0.461 0.539 0.000
Dy 0.461 0.921 0.000
Dy 0.539 0.079 0.500
Dy 0.539 0.461 0.500
Dy 0.667 0.333 0.997
Dy 0.747 0.873 0.691
Dy 0.873 0.127 0.191
Dy 0.873 0.747 0.191
Dy 0.921 0.461 0.500
Pt 0.190 0.380 0.261
Pt 0.190 0.810 0.261
Pt 0.380 0.190 0.761
Pt 0.620 0.810 0.261
Pt 0.810 0.190 0.761
Pt 0.810 0.620 0.761

Values from the calculation:
ΔE_f: -0.841 eV/atom
crystal system: hexagonal
total energy: -58.74 eV per formula unit
N(E_F): 13.995 states/eV/f.u.

Question: Among the records above, which one has the lowest ΔE_f?
Answer: DyPt3

Question: Which value of N(E_F) does entry 2 give?
Answer: 13.995 states/eV/f.u.